(1)
# Pm2TmGa

Crystalline Pm2TmGa at its relaxed geometry (PBE, the Alexandria database).

abc: 5.385 5.385 5.385
angles: 60.00 60.00 60.00
Atoms (fractional coordinates):
1 Tm 0.000 0.000 0.000
2 Ga 0.500 0.500 0.500
3 Pm 0.250 0.250 0.250
4 Pm 0.750 0.750 0.750

crystal system	cubic
energy relative to the lowest polymorph listed for this composition	151	meV/atom

(2)
# PmTm2Ga4

Crystalline PmTm2Ga4 at its relaxed geometry (PBE, the Alexandria database).

abc: 4.135 4.264 9.532
angles: 102.93 102.53 90.00
Atoms (fractional coordinates):
1 Tm 0.815 0.815 0.629
2 Tm 0.185 0.185 0.371
3 Ga 0.649 0.649 0.298
4 Ga 0.351 0.351 0.702
5 Ga 0.068 0.568 0.136
6 Ga 0.932 0.432 0.864
7 Pm 0.500 0.000 0.000

crystal system	orthorhombic
calculated total energy	-30.3	eV per cell

(3)
# Pm2TmGa6

Crystalline Pm2TmGa6 at its relaxed geometry (PBE, the Alexandria database).

abc: 4.195 7.338 7.338
angles: 120.00 90.00 90.00
Atoms (fractional coordinates):
1 Pm 0.000 0.333 0.667
2 Pm 0.000 0.667 0.333
3 Tm 0.000 0.000 0.000
4 Ga 0.500 0.332 0.332
5 Ga 0.500 0.668 0.668
6 Ga 0.500 0.000 0.668
7 Ga 0.500 0.668 0.000
8 Ga 0.500 0.332 0.000
9 Ga 0.500 0.000 0.332

crystal system	hexagonal
energy relative to the lowest polymorph listed for this composition	0	meV/atom

(4)
# PmTm4Ga5

Crystalline PmTm4Ga5 at its relaxed geometry (PBE, the Alexandria database).

abc: 3.544 3.544 17.844
angles: 90.00 90.00 90.00
Atoms (fractional coordinates):
1 Pm 0.000 0.000 0.000
2 Tm 0.000 0.000 0.206
3 Tm 0.000 0.000 0.402
4 Tm 0.000 0.000 0.598
5 Tm 0.000 0.000 0.794
6 Ga 0.500 0.500 0.110
7 Ga 0.500 0.500 0.305
8 Ga 0.500 0.500 0.500
9 Ga 0.500 0.500 0.695
10 Ga 0.500 0.500 0.890

crystal system	tetragonal
calculated total energy	-43.5	eV per cell

(5)
# PmTm2Ga9

Crystalline PmTm2Ga9 at its relaxed geometry (PBE, the Alexandria database).

abc: 4.280 4.280 12.812
angles: 90.00 90.00 90.00
Atoms (fractional coordinates):
1 Pm 0.000 0.000 0.000
2 Tm 0.000 0.000 0.336
3 Tm 0.000 0.000 0.664
4 Ga 0.500 0.500 0.000
5 Ga 0.500 0.500 0.334
6 Ga 0.500 0.500 0.666
7 Ga 0.500 0.000 0.172
8 Ga 0.500 0.000 0.500
9 Ga 0.500 0.000 0.828
10 Ga 0.000 0.500 0.172
11 Ga 0.000 0.500 0.500
12 Ga 0.000 0.500 0.828

crystal system	tetragonal
calculated total energy	-47.2	eV per cell

(6)
# Pm8Tm2Ga

Crystalline Pm8Tm2Ga at its relaxed geometry (PBE, the Alexandria database).

abc: 5.546 7.464 9.862
angles: 112.19 106.33 90.00
Atoms (fractional coordinates):
1 Pm 0.368 0.603 0.736
2 Pm 0.632 0.868 0.265
3 Pm 0.817 0.817 0.633
4 Pm 0.000 0.249 0.000
5 Pm 0.183 0.183 0.367
6 Pm 0.368 0.132 0.735
7 Pm 0.632 0.397 0.264
8 Pm 0.000 0.751 0.000
9 Tm 0.808 0.309 0.617
10 Tm 0.192 0.691 0.383
11 Ga 0.500 0.000 0.000

crystal system	monoclinic
calculated total energy	-50.2	eV per cell

(7)
# Pm3Tm4Ga4

Crystalline Pm3Tm4Ga4 at its relaxed geometry (PBE, the Alexandria database).

abc: 4.854 7.446 9.195
angles: 113.88 105.30 90.00
Atoms (fractional coordinates):
1 Pm 0.107 0.107 0.215
2 Pm 0.893 0.893 0.785
3 Pm 0.000 0.500 0.000
4 Tm 0.326 0.110 0.652
5 Tm 0.674 0.459 0.348
6 Tm 0.674 0.890 0.348
7 Tm 0.326 0.541 0.652
8 Ga 0.197 0.697 0.394
9 Ga 0.803 0.303 0.606
10 Ga 0.500 0.818 0.000
11 Ga 0.500 0.182 0.000

crystal system	orthorhombic
calculated total energy	-48.5	eV per cell

(8)
# Pm2TmGa

Crystalline Pm2TmGa at its relaxed geometry (PBE, the Alexandria database).

abc: 3.510 3.510 11.998
angles: 81.59 81.59 60.00
Atoms (fractional coordinates):
1 Tm 0.500 0.500 0.500
2 Ga 0.000 0.000 0.000
3 Pm 0.086 0.086 0.741
4 Pm 0.914 0.914 0.259

crystal system	trigonal
energy relative to the lowest polymorph listed for this composition	412	meV/atom

| no. | volume (A^3/atom) |
| --- | --- |
| 1 | 27.61 |
| 2 | 22.82 |
| 3 | 21.74 |
| 4 | 22.41 |
| 5 | 19.56 |
| 6 | 32.74 |
| 7 | 26.45 |
| 8 | 31.55 |